First-principles (PBEsol) data for crystalline Sb2Au at its relaxed geometry, as listed in Alexandria via LeMat-Bulk.

D(E_F) ... 1.5 states/eV/f.u.
VASP energy ... -52.76 eV per cell
M_tot ... 0.000 μB/f.u.

```
data_Sb2Au
_chemical_formula_sum 'Sb8 Au4'
_cell_length_a 12.1049
_cell_length_b 4.1084
_cell_length_c 7.1376
_cell_angle_alpha 90.00
_cell_angle_beta 124.18
_cell_angle_gamma 90.00
_symmetry_space_group_name_H-M 'C 1 2/m 1'
_symmetry_Int_Tables_number 12
loop_
_symmetry_equiv_pos_as_xyz
'x,y,z'
'-x,-y,-z'
'-x,y,-z'
'x,-y,z'
'x+1/2,y+1/2,z'
'-x+1/2,-y+1/2,-z'
'-x+1/2,y+1/2,-z'
'x+1/2,-y+1/2,z'
loop_
_atom_site_label
_atom_site_type_symbol
_atom_site_fract_x
_atom_site_fract_y
_atom_site_fract_z
Sb1 Sb 0.0707 0.0000 0.2620
Sb2 Sb 0.2422 0.0000 0.7667
Au1 Au 0.0819 0.5000 0.7430
```

=====

First-principles (PBEsol) data for crystalline Hf2ZnPt2 at its relaxed geometry, as listed in Alexandria via LeMat-Bulk.

Energy of formation from the pure elements ... -843.6 meV/atom
D(E_F) ... 3.2 states/eV/f.u.
VASP energy ... -81.47 eV per cell
M_tot ... 0.000 μB/f.u.

```
data_Hf2ZnPt2
_chemical_formula_sum 'Hf4 Zn2 Pt4'
_cell_length_a 7.3771
_cell_length_b 7.3771
_cell_length_c 3.2874
_cell_angle_alpha 90.00
_cell_angle_beta 90.00
_cell_angle_gamma 90.00
_symmetry_space_group_name_H-M 'P 4/m b m'
_symmetry_Int_Tables_number 127
_symmetry_space_group_name_Hall '-P 4 2ab'
loop_
_atom_site_label
_atom_site_type_symbol
_atom_site_fract_x
_atom_site_fract_y
_atom_site_fract_z
Hf1 Hf 0.1689 0.3311 0.0000
Zn1 Zn 0.0000 0.0000 0.5000
Pt1 Pt 0.1323 0.6323 0.5000
```

=====

First-principles (PBEsol) data for crystalline KMgH3 at its relaxed geometry, as listed in Alexandria via LeMat-Bulk.

D(E_F) ... 0.0 states/eV/f.u.
VASP energy ... -14.11 eV per cell
M_tot ... 0.000 μB/f.u.

```
data_KMgH3
_chemical_formula_sum 'K1 Mg1 H3'
_cell_length_a 3.9751
_cell_length_b 3.9751
_cell_length_c 3.9751
_cell_angle_alpha 90.00
_cell_angle_beta 90.00
_cell_angle_gamma 90.00
_symmetry_space_group_name_H-M 'P m -3 m'
_symmetry_Int_Tables_number 221
_symmetry_space_group_name_Hall '-P 4 2 3'
loop_
_atom_site_label
_atom_site_type_symbol
_atom_site_fract_x
_atom_site_fract_y
_atom_site_fract_z
K1 K 0.0000 0.0000 0.0000
Mg1 Mg 0.5000 0.5000 0.5000
H1 H 0.0000 0.5000 0.5000
```

=====

First-principles (PBEsol) data for crystalline LaP5O14 at its relaxed geometry, as listed in Alexandria via LeMat-Bulk.

D(E_F) ... 0.0 states/eV/f.u.
VASP energy ... -620.66 eV per cell
M_tot ... 0.000 μB/f.u.

```
data_LaP5O14
_chemical_formula_sum 'La4 P20 O56'
_cell_length_a 8.8458
_cell_length_b 9.1349
_cell_length_c 13.1576
_cell_angle_alpha 90.00
_cell_angle_beta 90.54
_cell_angle_gamma 90.00
_symmetry_space_group_name_H-M 'P 1 21/c 1'
_symmetry_Int_Tables_number 14
loop_
_symmetry_equiv_pos_as_xyz
'x,y,z'
'-x,-y,-z'
'-x,y+1/2,-z+1/2'
'x,-y+1/2,z+1/2'
loop_
_atom_site_label
_atom_site_type_symbol
_atom_site_fract_x
_atom_site_fract_y
_atom_site_fract_z
La1 La 0.2217 0.1895 0.0013
P1 P 0.0089 0.5060 0.7056
P2 P 0.1861 0.7462 0.4998
P3 P 0.2540 0.5481 0.1638
P4 P 0.2737 0.5516 0.8377
P5 P 0.4929 0.0025 0.8235
O1 O 0.0332 0.6863 0.9936
O2 O 0.0839 0.1173 0.8485
O3 O 0.0887 0.1145 0.1529
O4 O 0.0908 0.5712 0.2068
O5 O 0.1286 0.5978 0.7748
O6 O 0.2117 0.5858 0.4988
O7 O 0.2693 0.0945 0.3847
O8 O 0.2769 0.6916 0.0996
O9 O 0.2802 0.0904 0.6093
O10 O 0.2948 0.6846 0.9122
O11 O 0.3649 0.5804 0.2550
O12 O 0.4104 0.5819 0.7651
O13 O 0.4175 0.1143 0.1258
O14 O 0.4219 0.1219 0.8830
```

=====

First-principles (PBEsol) data for crystalline CaAuSe at its relaxed geometry, as listed in Alexandria via LeMat-Bulk.

D(E_F) ... 1.8 states/eV/f.u.
VASP energy ... -12.45 eV per cell
M_tot ... 0.000 μB/f.u.
Energy relative to the lowest polymorph listed for this composition ... 0.000 eV per atom

```
data_CaAuSe
_chemical_formula_sum 'Ca1 Au1 Se1'
_cell_length_a 4.4506
_cell_length_b 4.4506
_cell_length_c 3.9272
_cell_angle_alpha 90.00
_cell_angle_beta 90.00
_cell_angle_gamma 120.00
_symmetry_space_group_name_H-M 'P 3 m 1'
_symmetry_Int_Tables_number 156
loop_
_symmetry_equiv_pos_as_xyz
'x,y,z'
'-y,x-y,z'
'-x+y,-x,z'
'-y,-x,z'
'-x+y,y,z'
'x,x-y,z'
loop_
_atom_site_label
_atom_site_type_symbol
_atom_site_fract_x
_atom_site_fract_y
_atom_site_fract_z
Ca1 Ca 0.0000 0.0000 0.0000
Au1 Au 0.3333 0.6667 0.5658
Se1 Se 0.6667 0.3333 0.4338
```

=====

First-principles (PBEsol) data for crystalline PmP3 at its relaxed geometry, as listed in Alexandria via LeMat-Bulk.

Energy of formation from the pure elements ... -391.8 meV/atom
D(E_F) ... 2.2 states/eV/f.u.
VASP energy ... -48.16 eV per cell
M_tot ... 0.000 μB/f.u.

```
data_PmP3
_chemical_formula_sum 'Pm2 P6'
_cell_length_a 3.9149
_cell_length_b 3.9149
_cell_length_c 9.4539
_cell_angle_alpha 90.00
_cell_angle_beta 90.00
_cell_angle_gamma 90.00
_symmetry_space_group_name_H-M 'I 4/m m m'
_symmetry_Int_Tables_number 139
_symmetry_space_group_name_Hall '-I 4 2'
loop_
_atom_site_label
_atom_site_type_symbol
_atom_site_fract_x
_atom_site_fract_y
_atom_site_fract_z
Pm1 Pm 0.0000 0.0000 0.0000
P1 P 0.0000 0.0000 0.5000
P2 P 0.0000 0.5000 0.2500
```

=====

First-principles (PBEsol) data for crystalline RuWN2F at its relaxed geometry, as listed in Alexandria via LeMat-Bulk.

D(E_F) ... 5.2 states/eV/f.u.
VASP energy ... -40.90 eV per cell
M_tot ... 2.662 μB/f.u.

```
data_RuWN2F
_chemical_formula_sum 'Ru1 W1 N2 F1'
_cell_length_a 3.9401
_cell_length_b 3.9401
_cell_length_c 3.9039
_cell_angle_alpha 90.00
_cell_angle_beta 90.00
_cell_angle_gamma 90.00
_symmetry_space_group_name_H-M 'P 4/m m m'
_symmetry_Int_Tables_number 123
_symmetry_space_group_name_Hall '-P 4 2'
loop_
_atom_site_label
_atom_site_type_symbol
_atom_site_fract_x
_atom_site_fract_y
_atom_site_fract_z
Ru1 Ru 0.0000 0.0000 0.0000
W1 W 0.5000 0.5000 0.5000
N1 N 0.0000 0.5000 0.5000
F1 F 0.5000 0.5000 0.0000
```

=====

First-principles (PBEsol) data for crystalline YMn4 at its relaxed geometry, as listed in Alexandria via LeMat-Bulk.

Energy of formation from the pure elements ... 70.3 meV/atom
D(E_F) ... 5.7 states/eV/f.u.
VASP energy ... -91.03 eV per cell
M_tot ... 0.001 μB/f.u.

```
data_YMn4
_chemical_formula_sum 'Y2 Mn8'
_cell_length_a 3.8884
_cell_length_b 3.8884
_cell_length_c 9.2450
_cell_angle_alpha 90.00
_cell_angle_beta 90.00
_cell_angle_gamma 90.00
_symmetry_space_group_name_H-M 'I 4/m m m'
_symmetry_Int_Tables_number 139
_symmetry_space_group_name_Hall '-I 4 2'
loop_
_atom_site_label
_atom_site_type_symbol
_atom_site_fract_x
_atom_site_fract_y
_atom_site_fract_z
Y1 Y 0.0000 0.0000 0.0000
Mn1 Mn 0.0000 0.0000 0.3711
Mn2 Mn 0.0000 0.5000 0.2500
```